{
  "formula": "TaTi2Pt9",
  "functional": "GGA-PBE",
  "state": "relaxed",
  "spacegroup": "P4/mmm, No. 123",
  "dos_at_fermi_per_ev_cell": 7.47,
  "formation_enthalpy_0k_ev_per_fu": -9.3,
  "lattice": [[3.969, 0.000, 0.000], [0.000, 3.969, 0.000], [0.000, 0.000, 11.896]],
  "species": ["Ta", "Ti", "Ti", "Pt", "Pt", "Pt", "Pt", "Pt", "Pt", "Pt", "Pt", "Pt"],
  "fractional_positions": [[0.000, 0.000, 0.000], [0.000, 0.000, 0.338], [0.000, 0.000, 0.662], [0.000, 0.500, 0.167], [0.000, 0.500, 0.500], [0.000, 0.500, 0.833], [0.500, 0.000, 0.167], [0.500, 0.000, 0.500], [0.500, 0.000, 0.833], [0.500, 0.500, 0.000], [0.500, 0.500, 0.333], [0.500, 0.500, 0.667]]
}

{
  "formula": "Tl4IBrF2",
  "functional": "GGA-PBE",
  "state": "relaxed",
  "spacegroup": "P2/m, No. 10",
  "raw_formation_energy_ev_per_atom": -1.20,
  "dos_at_fermi_per_ev_cell": 0.00,
  "lattice": [[7.640, 0.000, 0.000], [0.000, 4.419, 0.000], [-2.558, 0.000, 7.307]],
  "species": ["Tl", "Tl", "Tl", "Tl", "I", "Br", "F", "F"],
  "fractional_positions": [[0.224, 0.000, 0.188], [0.262, 0.500, 0.805], [0.738, 0.500, 0.195], [0.776, 0.000, 0.812], [0.500, 0.500, 0.500], [0.000, 0.000, 0.500], [0.000, 0.500, 0.000], [0.500, 0.000, 0.000]]
}

{
  "formula": "MnHgS2",
  "functional": "GGA-PBE",
  "state": "relaxed",
  "spacegroup": "P1, No. 1",
  "relative_energy_ev_per_atom": 0.087,
  "raw_formation_energy_ev_per_atom": -0.32,
  "dos_at_fermi_per_ev_cell": 2.76,
  "lattice": [[3.109, 0.000, 0.000], [-1.525, 2.713, 0.000], [-0.107, -0.194, 9.252]],
  "species": ["Mn", "Hg", "S", "S"],
  "fractional_positions": [[0.000, 0.000, 0.000], [0.292, 0.734, 0.500], [0.655, 0.323, 0.848], [0.677, 0.345, 0.152]]
}